(1)
A plane-wave DFT calculation with PBE was carried out for a relaxed structure of Pa3Ni2As3.

The volume is 305 Å³/cell. For the energy of formation, the calculation gives -572 kJ/mol of formula units. The calculated density is 11.3 Mg/m³.

a = 4.052 Å, b = 5.671 Å, c = 14.202 Å
α = 90.00°, β = 90.00°, γ = 110.93°
Site moments in Bohr magnetons follow the coordinates.
Fractional coordinates of all 16 atoms:
1 Pa 0.929 0.859 0.393  0.37
2 Pa 0.071 0.141 0.893  0.37
3 Pa 0.929 0.859 0.107  0.37
4 Pa 0.071 0.141 0.607  0.37
5 Pa 0.649 0.297 0.250  0.15
6 Pa 0.351 0.703 0.750  0.15
7 Ni 0.774 0.549 0.893  0.01
8 Ni 0.226 0.451 0.393  0.01
9 Ni 0.774 0.549 0.607  0.01
10 Ni 0.226 0.451 0.107  0.01
11 As 0.634 0.267 0.456  -0.01
12 As 0.366 0.733 0.956  -0.01
13 As 0.634 0.267 0.044  -0.01
14 As 0.366 0.733 0.544  -0.01
15 As 0.368 0.736 0.250  0.00
16 As 0.632 0.264 0.750  0.00

=====

(2)
A plane-wave DFT calculation with PBE was carried out for a relaxed structure of Pa3Ni7As2.

The volume is 192 Å³/cell. For the energy of formation, the calculation gives -469 kJ/mol of formula units. The calculated density is 10.8 Mg/m³.

a = 3.781 Å, b = 3.781 Å, c = 13.722 Å
α = 97.92°, β = 97.92°, γ = 90.00°
Fractional coordinates of all 12 atoms:
1 Pa 0.322 0.322 0.644
2 Pa 0.678 0.678 0.356
3 Pa 0.500 0.500 0.000
4 Ni 0.000 0.000 0.000
5 Ni 0.928 0.428 0.857
6 Ni 0.428 0.928 0.857
7 Ni 0.072 0.572 0.143
8 Ni 0.572 0.072 0.143
9 Ni 0.224 0.224 0.447
10 Ni 0.776 0.776 0.553
11 As 0.128 0.128 0.257
12 As 0.872 0.872 0.743

=====

(3)
A plane-wave DFT calculation with PBE was carried out for a relaxed structure of Pa2Ni2As3.

The volume is 267 Å³/cell. For the energy of formation, the calculation gives -463 kJ/mol of formula units. The calculated density is 10.0 Mg/m³.

a = 7.136 Å, b = 7.847 Å, c = 6.359 Å
α = 90.00°, β = 48.61°, γ = 90.00°
Fractional coordinates of all 14 atoms:
1 Pa 0.882 0.727 0.815
2 Pa 0.382 0.773 0.815
3 Pa 0.618 0.227 0.185
4 Pa 0.118 0.273 0.185
5 Ni 0.573 0.386 0.580
6 Ni 0.927 0.886 0.420
7 Ni 0.073 0.114 0.580
8 Ni 0.427 0.614 0.420
9 As 0.500 0.500 0.000
10 As 0.000 0.000 0.000
11 As 0.632 0.113 0.713
12 As 0.868 0.613 0.287
13 As 0.132 0.387 0.713
14 As 0.368 0.887 0.287

=====

(4)
A plane-wave DFT calculation with PBE was carried out for a relaxed structure of Pa3Ni5As2.

The volume is 354 Å³/cell. For the energy of formation, the calculation gives -377 kJ/mol of formula units. The calculated density is 10.7 Mg/m³.

a = 5.604 Å, b = 8.431 Å, c = 8.431 Å
α = 83.22°, β = 70.59°, γ = 70.59°
Site moments in Bohr magnetons follow the coordinates.
Fractional coordinates of all 20 atoms:
1 Pa 0.250 0.000 0.000  0.29
2 Pa 0.750 0.000 0.000  0.29
3 Pa 0.371 0.455 0.803  0.02
4 Pa 0.629 0.545 0.197  0.02
5 Pa 0.871 0.803 0.455  0.02
6 Pa 0.129 0.197 0.545  0.02
7 Ni 0.250 0.500 0.500  -0.01
8 Ni 0.750 0.500 0.500  -0.01
9 Ni 0.468 0.782 0.782  -0.01
10 Ni 0.032 0.218 0.218  -0.01
11 Ni 0.532 0.218 0.218  -0.01
12 Ni 0.968 0.782 0.782  -0.01
13 Ni 0.147 0.458 0.248  -0.01
14 Ni 0.853 0.542 0.752  -0.01
15 Ni 0.647 0.248 0.458  -0.01
16 Ni 0.353 0.752 0.542  -0.01
17 As 0.109 0.695 0.087  0.00
18 As 0.891 0.305 0.913  0.00
19 As 0.609 0.087 0.695  0.00
20 As 0.391 0.913 0.305  0.00

=====

(5)
A plane-wave DFT calculation with PBE was carried out for a relaxed structure of PaNi3As2.

The volume is 186 Å³/cell. For the energy of formation, the calculation gives -318 kJ/mol of formula units. The calculation puts the energy above the most stable polymorph in this dataset at 0.0000 eV per atom. The calculated density is 9.9 Mg/m³.

a = 4.010 Å, b = 8.009 Å, c = 6.583 Å
α = 113.77°, β = 90.00°, γ = 104.50°
Fractional coordinates of all 12 atoms:
1 Pa 0.859 0.718 0.928
2 Pa 0.141 0.282 0.072
3 Ni 0.317 0.634 0.563
4 Ni 0.938 0.877 0.599
5 Ni 0.624 0.248 0.737
6 Ni 0.376 0.752 0.263
7 Ni 0.062 0.123 0.401
8 Ni 0.683 0.366 0.437
9 As 0.485 0.969 0.785
10 As 0.515 0.031 0.215
11 As 0.794 0.588 0.287
12 As 0.206 0.412 0.713

=====

(6)
A plane-wave DFT calculation with PBE was carried out for a relaxed structure of Pa2NiAs4.

The volume is 141 Å³/cell. For the energy of formation, the calculation gives -599 kJ/mol of formula units. The calculated density is 9.6 Mg/m³.

a = 4.053 Å, b = 4.053 Å, c = 8.604 Å
α = 90.00°, β = 90.00°, γ = 90.00°
Fractional coordinates of all 7 atoms:
1 Pa 0.500 0.000 0.762
2 Pa 0.000 0.500 0.238
3 Ni 0.500 0.500 0.000
4 As 0.500 0.000 0.147
5 As 0.000 0.500 0.853
6 As 0.500 0.500 0.500
7 As 0.000 0.000 0.500

=====

(7)
A plane-wave DFT calculation with PBE was carried out for a relaxed structure of PaNi3As2.

The volume is 187 Å³/cell. For the energy of formation, the calculation gives -299 kJ/mol of formula units. The calculation puts the energy above the most stable polymorph in this dataset at 0.0325 eV per atom. The calculated density is 9.9 Mg/m³.

a = 4.143 Å, b = 7.955 Å, c = 8.220 Å
α = 46.02°, β = 75.40°, γ = 74.91°
Fractional coordinates of all 12 atoms:
1 Pa 0.870 0.098 0.162
2 Pa 0.130 0.902 0.838
3 Ni 0.331 0.458 0.880
4 Ni 0.944 0.390 0.721
5 Ni 0.689 0.119 0.503
6 Ni 0.311 0.881 0.497
7 Ni 0.056 0.610 0.279
8 Ni 0.669 0.542 0.120
9 As 0.507 0.230 0.755
10 As 0.493 0.770 0.245
11 As 0.785 0.694 0.736
12 As 0.215 0.306 0.264

=====

(8)
A plane-wave DFT calculation with PBE was carried out for a relaxed structure of Pa4Ni3As8.

The volume is 287 Å³/cell. For the energy of formation, the calculation gives -1230 kJ/mol of formula units. The calculated density is 9.8 Mg/m³.

a = 4.034 Å, b = 4.034 Å, c = 17.648 Å
α = 90.00°, β = 90.00°, γ = 90.00°
Fractional coordinates of all 15 atoms:
1 Pa 0.500 0.000 0.372
2 Pa 0.500 0.000 0.883
3 Pa 0.000 0.500 0.117
4 Pa 0.000 0.500 0.628
5 Ni 0.500 0.500 0.500
6 Ni 0.000 0.000 0.000
7 Ni 0.000 0.000 0.500
8 As 0.500 0.000 0.072
9 As 0.500 0.000 0.580
10 As 0.000 0.500 0.420
11 As 0.000 0.500 0.928
12 As 0.500 0.500 0.244
13 As 0.500 0.500 0.756
14 As 0.000 0.000 0.245
15 As 0.000 0.000 0.755

=====

(9)
A plane-wave DFT calculation with PBE was carried out for a relaxed structure of Pa3Ni3As2.

The volume is 291 Å³/cell. For the energy of formation, the calculation gives -487 kJ/mol of formula units. The calculated density is 11.6 Mg/m³.

a = 4.132 Å, b = 5.557 Å, c = 13.657 Å
α = 90.00°, β = 90.00°, γ = 111.83°
Fractional coordinates of all 16 atoms:
1 Pa 0.919 0.838 0.394
2 Pa 0.081 0.162 0.894
3 Pa 0.919 0.838 0.106
4 Pa 0.081 0.162 0.606
5 Pa 0.634 0.269 0.250
6 Pa 0.366 0.731 0.750
7 Ni 0.614 0.227 0.463
8 Ni 0.386 0.773 0.963
9 Ni 0.614 0.227 0.037
10 Ni 0.386 0.773 0.537
11 Ni 0.362 0.724 0.250
12 Ni 0.638 0.276 0.750
13 As 0.791 0.583 0.895
14 As 0.209 0.417 0.395
15 As 0.791 0.583 0.605
16 As 0.209 0.417 0.105

=====

(10)
A plane-wave DFT calculation with PBE was carried out for a relaxed structure of PaNiAs.

The volume is 55 Å³/cell. For the energy of formation, the calculation gives -249 kJ/mol of formula units. The calculated density is 11.1 Mg/m³.

a = 3.883 Å, b = 4.033 Å, c = 4.033 Å
α = 120.00°, β = 90.00°, γ = 90.00°
Fractional coordinates of all 3 atoms:
1 Ni 0.167 0.333 0.667
2 As 0.167 0.000 0.000
3 Pa 0.667 0.667 0.333

=====

(11)
A plane-wave DFT calculation with PBE was carried out for a relaxed structure of Pa3Ni6As5.

The volume is 452 Å³/cell. For the energy of formation, the calculation gives -986 kJ/mol of formula units. The calculated density is 10.4 Mg/m³.

a = 4.009 Å, b = 9.301 Å, c = 12.108 Å
α = 90.00°, β = 90.00°, γ = 90.00°
Fractional coordinates of all 28 atoms:
1 Pa 0.000 0.253 0.665
2 Pa 0.500 0.747 0.165
3 Pa 0.500 0.747 0.835
4 Pa 0.000 0.247 0.000
5 Pa 0.500 0.753 0.500
6 Pa 0.000 0.253 0.335
7 Ni 0.000 0.999 0.834
8 Ni 0.500 0.001 0.666
9 Ni 0.500 0.391 0.820
10 Ni 0.500 0.519 0.000
11 Ni 0.000 0.481 0.500
12 Ni 0.000 0.609 0.680
13 Ni 0.000 0.609 0.320
14 Ni 0.500 0.000 0.000
15 Ni 0.000 0.999 0.166
16 Ni 0.500 0.391 0.180
17 Ni 0.000 0.000 0.500
18 Ni 0.500 0.001 0.334
19 As 0.000 0.515 0.868
20 As 0.000 0.860 0.667
21 As 0.000 0.847 0.000
22 As 0.500 0.485 0.632
23 As 0.500 0.153 0.500
24 As 0.000 0.515 0.132
25 As 0.500 0.485 0.368
26 As 0.000 0.860 0.333
27 As 0.500 0.140 0.833
28 As 0.500 0.140 0.167

=====

(12)
A plane-wave DFT calculation with PBE was carried out for a relaxed structure of PaNi7As2.

The volume is 160 Å³/cell. For the energy of formation, the calculation gives -106 kJ/mol of formula units. The calculated density is 8.2 Mg/m³.

a = 4.182 Å, b = 6.616 Å, c = 6.616 Å
α = 119.03°, β = 90.00°, γ = 90.00°
Fractional coordinates of all 10 atoms:
1 Pa 0.000 0.000 0.000
2 Ni 0.000 0.783 0.217
3 Ni 0.000 0.217 0.783
4 Ni 0.500 0.064 0.299
5 Ni 0.500 0.936 0.701
6 Ni 0.500 0.299 0.064
7 Ni 0.500 0.701 0.936
8 Ni 0.500 0.500 0.500
9 As 0.500 0.697 0.303
10 As 0.500 0.303 0.697

=====

(13)
A plane-wave DFT calculation with PBE was carried out for a relaxed structure of PaNi5As3.

The volume is 262 Å³/cell. For the energy of formation, the calculation gives -397 kJ/mol of formula units. The calculated density is 9.5 Mg/m³.

a = 3.714 Å, b = 6.362 Å, c = 11.584 Å
α = 90.00°, β = 90.00°, γ = 106.97°
Fractional coordinates of all 18 atoms:
1 Pa 0.844 0.688 0.750
2 Pa 0.156 0.312 0.250
3 Ni 0.804 0.608 0.438
4 Ni 0.196 0.392 0.938
5 Ni 0.000 0.000 0.500
6 Ni 0.000 0.000 0.000
7 Ni 0.439 0.877 0.143
8 Ni 0.561 0.123 0.857
9 Ni 0.561 0.123 0.643
10 Ni 0.804 0.608 0.062
11 Ni 0.196 0.392 0.562
12 Ni 0.439 0.877 0.357
13 As 0.383 0.766 0.945
14 As 0.876 0.752 0.250
15 As 0.383 0.766 0.555
16 As 0.617 0.234 0.445
17 As 0.124 0.248 0.750
18 As 0.617 0.234 0.055

=====

(14)
A plane-wave DFT calculation with PBE was carried out for a relaxed structure of PaNi12As4.

The volume is 249 Å³/cell. For the energy of formation, the calculation gives 143 kJ/mol of formula units. The calculated density is 8.2 Mg/m³.

a = 6.867 Å, b = 6.867 Å, c = 6.867 Å
α = 109.47°, β = 109.47°, γ = 109.47°
Fractional coordinates of all 17 atoms:
1 Pa 0.000 0.000 0.000
2 Ni 0.847 0.350 0.196
3 Ni 0.350 0.503 0.153
4 Ni 0.804 0.153 0.650
5 Ni 0.350 0.196 0.847
6 Ni 0.196 0.847 0.350
7 Ni 0.650 0.497 0.847
8 Ni 0.503 0.153 0.350
9 Ni 0.497 0.847 0.650
10 Ni 0.650 0.804 0.153
11 Ni 0.847 0.650 0.497
12 Ni 0.153 0.350 0.503
13 Ni 0.153 0.650 0.804
14 As 0.000 0.500 0.000
15 As 0.500 0.000 0.000
16 As 0.500 0.500 0.500
17 As 0.000 0.000 0.500

=====

(15)
A plane-wave DFT calculation with PBE was carried out for a relaxed structure of Pa3Ni7As4.

The volume is 218 Å³/cell. For the energy of formation, the calculation gives -893 kJ/mol of formula units. The calculated density is 10.7 Mg/m³.

a = 4.068 Å, b = 7.819 Å, c = 7.744 Å
α = 68.55°, β = 74.77°, γ = 74.92°
Fractional coordinates of all 14 atoms:
1 Pa 0.317 0.196 0.171
2 Pa 0.683 0.804 0.829
3 Pa 0.000 0.500 0.500
4 Ni 0.321 0.825 0.534
5 Ni 0.502 0.197 0.800
6 Ni 0.863 0.363 0.910
7 Ni 0.679 0.175 0.466
8 Ni 0.137 0.637 0.090
9 Ni 0.000 0.000 0.000
10 Ni 0.498 0.803 0.200
11 As 0.659 0.467 0.216
12 As 0.341 0.533 0.784
13 As 0.875 0.904 0.347
14 As 0.125 0.096 0.653

=====

(16)
A plane-wave DFT calculation with PBE was carried out for a relaxed structure of Pa2Ni4As3Pd.

The volume is 161 Å³/cell. For the energy of formation, the calculation gives -626 kJ/mol of formula units. The calculated density is 10.6 Mg/m³.

a = 3.961 Å, b = 3.961 Å, c = 10.232 Å
α = 90.00°, β = 90.00°, γ = 90.00°
Fractional coordinates of all 10 atoms:
1 Pa 0.500 0.000 0.249
2 Pa 0.000 0.500 0.751
3 Ni 0.500 0.500 0.000
4 Ni 0.000 0.000 0.000
5 Ni 0.500 0.000 0.653
6 Ni 0.000 0.500 0.347
7 As 0.000 0.000 0.500
8 As 0.500 0.000 0.874
9 As 0.000 0.500 0.126
10 Pd 0.500 0.500 0.500

=====

(17)
A plane-wave DFT calculation with PBE was carried out for a relaxed structure of PaNiAsPd.

The volume is 71 Å³/cell. For the energy of formation, the calculation gives -160 kJ/mol of formula units. The calculated density is 11.0 Mg/m³.

a = 4.649 Å, b = 4.649 Å, c = 4.649 Å
α = 60.00°, β = 60.00°, γ = 60.00°
Fractional coordinates of all 4 atoms:
1 Ni 0.250 0.250 0.250
2 As 0.750 0.750 0.750
3 Pa 0.500 0.500 0.500
4 Pd 0.000 0.000 0.000

=====

(18)
A plane-wave DFT calculation with PBE was carried out for a relaxed structure of PaNiAs2Pd2.

The volume is 212 Å³/cell. For the energy of formation, the calculation gives -323 kJ/mol of formula units. The calculated density is 10.2 Mg/m³.

a = 4.048 Å, b = 7.034 Å, c = 7.432 Å
α = 90.00°, β = 90.00°, γ = 90.00°
Fractional coordinates of all 12 atoms:
1 Pa 0.000 0.010 0.427
2 Pa 0.000 0.510 0.573
3 Ni 0.500 0.186 0.649
4 Ni 0.500 0.686 0.351
5 As 0.000 0.190 0.827
6 As 0.500 0.321 0.349
7 As 0.000 0.690 0.173
8 As 0.500 0.821 0.651
9 Pd 0.500 0.006 0.138
10 Pd 0.000 0.331 0.129
11 Pd 0.500 0.506 0.862
12 Pd 0.000 0.831 0.871

=====

(19)
A plane-wave DFT calculation with PBE was carried out for a relaxed structure of PmPaNiAs.

The volume is 87 Å³/cell. For the energy of formation, the calculation gives -138 kJ/mol of formula units. The calculated density is 9.7 Mg/m³.

a = 4.973 Å, b = 4.973 Å, c = 4.973 Å
α = 60.00°, β = 60.00°, γ = 60.00°
Site moments in Bohr magnetons follow the coordinates.
Fractional coordinates of all 4 atoms:
1 Ni 0.250 0.250 0.250  0.15
2 As 0.750 0.750 0.750  -0.01
3 Pa 0.000 0.000 0.000  1.01
4 Pm 0.500 0.500 0.500  0.31

=====

(20)
A plane-wave DFT calculation with PBE was carried out for a relaxed structure of Pa2Ni3As4Rh.

The volume is 167 Å³/cell. For the energy of formation, the calculation gives -666 kJ/mol of formula units. The calculated density is 10.4 Mg/m³.

a = 4.282 Å, b = 4.282 Å, c = 9.097 Å
α = 90.00°, β = 90.00°, γ = 90.00°
Fractional coordinates of all 10 atoms:
1 Pa 0.500 0.000 0.250
2 Pa 0.000 0.500 0.750
3 Ni 0.000 0.000 0.500
4 Ni 0.500 0.000 0.889
5 Ni 0.000 0.500 0.111
6 As 0.500 0.500 0.000
7 As 0.000 0.000 0.000
8 As 0.500 0.000 0.638
9 As 0.000 0.500 0.362
10 Rh 0.500 0.500 0.500